Here is crystalline PaAlCo2O8 at its relaxed geometry from Alexandria via LeMat-Bulk. Energies are from PBE with a Hubbard U.

Summary:
The final energy is -83.90 eV/cell. The calculation puts the calculated density at 5.18 g cm⁻³. The symmetry is P-3m1 (164).

Unit cell a=5.6054 b=5.6054 c=5.9355 alpha=90.00 beta=90.00 gamma=120.00
With the nearest neighbours (Å) after each atom.
Fractional positions:
O (0.2981, 0.1492, 0.2888)  1 Co 1.83, 1 Al 1.91
Co (0.6667, 0.3333, 0.2218)  4 O 1.71-1.83
O (0.8508, 0.1488, 0.2888)  1 Co 1.83, 1 Al 1.91
O (0.6667, 0.3333, 0.9329)  1 Co 1.71
O (0.1492, 0.8512, 0.7112)  1 Co 1.83, 1 Al 1.91
Al (0.0000, 0.0000, 0.5000)  6 O 1.91
O (0.3333, 0.6667, 0.0671)  1 Co 1.71
O (0.8512, 0.7019, 0.2888)  1 Co 1.83, 1 Al 1.91
O (0.7019, 0.8508, 0.7112)  1 Co 1.83, 1 Al 1.91
Co (0.3333, 0.6667, 0.7782)  4 O 1.71-1.83
Pa (0.0000, 0.0000, 0.0000)  6 O 2.24
O (0.1488, 0.2981, 0.7112)  1 Co 1.83, 1 Al 1.91